Entry 1:
DFT (GGA-PBE) results for a geometry-optimized SmYSi2 structure.

Values from the calculation:
* size of the total moment: 0.00 μB/cell
* energy above the most stable polymorph in this dataset: 0.00 eV per formula unit
* raw total energy: -50.61 eV/cell
* V: 22.45 Å³/atom
* formation energy from raw total energies: -0.82 eV/atom

Unit cell a=3.8772 b=5.7704 c=8.0278 alpha=90.00 beta=90.00 gamma=90.00
With the nearest neighbours (Å) after each atom.
Fractional positions:
Si1 0.5000 0.8781 0.4631  2 Si 2.50
Sm1 0.5000 0.6350 0.8202  7 Si 2.99-3.19
Sm2 0.5000 0.3650 0.3202  7 Si 2.99-3.19
Si2 0.0000 0.6256 0.5365  2 Si 2.50
Y1 0.0000 0.8650 0.1802  7 Si 2.99-3.18
Si3 0.5000 0.1219 0.9631  2 Si 2.50
Y2 0.0000 0.1350 0.6802  7 Si 2.99-3.18
Si4 0.0000 0.3744 0.0365  2 Si 2.50

---

Entry 2:
DFT (GGA-PBE) results for a geometry-optimized Sm2Y3Si4 structure.

Values from the calculation:
* size of the total moment: 0.00 μB/cell
* raw total energy: -114.98 eV/cell
* V: 23.86 Å³/atom
* formation energy from raw total energies: -0.77 eV/atom

Unit cell a=7.4769 b=7.7150 c=7.7666 alpha=90.00 beta=90.00 gamma=106.58
With the nearest neighbours (Å) after each atom.
Fractional positions:
Y1 0.0000 0.5000 0.5000  6 Si 2.99-3.12
Y2 0.7533 0.2434 0.8191  6 Si 2.86-2.99
Sm1 0.4139 0.8006 0.6799  6 Si 3.07-3.28
Sm2 0.9139 0.8006 0.8201  6 Si 3.07-3.28
Si1 0.6219 0.9202 0.0294  1 Si 2.51
Y3 0.7467 0.7566 0.3191  6 Si 2.86-2.99
Y4 0.2467 0.7566 0.1809  6 Si 2.86-2.99
Si2 0.3772 0.4918 0.3811  1 Si 2.58
Y5 0.5000 0.5000 0.0000  6 Si 2.99-3.12
Y6 0.2533 0.2434 0.6809  6 Si 2.86-2.99
Si3 0.8772 0.4918 0.1189  1 Si 2.58
Sm3 0.0861 0.1994 0.1799  6 Si 3.07-3.28
Si4 0.1228 0.5082 0.8811  1 Si 2.58
Si5 0.8781 0.0798 0.5294  1 Si 2.51
Si6 0.6228 0.5082 0.6189  1 Si 2.58
Si7 0.1219 0.9202 0.4706  1 Si 2.51
Sm4 0.5861 0.1994 0.3201  6 Si 3.07-3.28
Si8 0.3781 0.0798 0.9706  1 Si 2.51

---

Entry 3:
DFT (GGA-PBE) results for a geometry-optimized SmYSi4 structure.

Values from the calculation:
* size of the total moment: 0.00 μB/cell
* raw total energy: -141.97 eV/cell
* V: 20.81 Å³/atom
* formation energy from raw total energies: -0.44 eV/atom

Unit cell a=4.1070 b=8.3274 c=14.6023 alpha=90.00 beta=90.00 gamma=90.00
With the nearest neighbours (Å) after each atom.
Fractional positions:
Si1 0.5000 0.6245 0.9357  3 Si 2.50-2.80
Y1 0.0000 0.8596 0.5876  10 Si 2.87-3.03
Si2 0.5000 0.8755 0.4357  3 Si 2.50-2.80
Si3 0.5000 0.3720 0.4671  3 Si 2.34-2.50
Si4 0.5000 0.1280 0.9671  3 Si 2.34-2.50
Sm1 0.0000 0.8906 0.8663  10 Si 3.12-3.30
Sm2 0.0000 0.6094 0.3663  10 Si 3.12-3.30
Sm3 0.0000 0.1094 0.1337  10 Si 3.12-3.30
Si5 0.5000 0.1245 0.5643  3 Si 2.50-2.80
Si6 0.5000 0.3175 0.3064  3 Si 2.29-2.39
Si7 0.5000 0.4637 0.7891  3 Si 2.29-2.53
Y2 0.0000 0.3596 0.9124  10 Si 2.87-3.03
Y3 0.0000 0.6404 0.0876  10 Si 2.87-3.03
Si8 0.5000 0.3755 0.0643  3 Si 2.50-2.80
Si9 0.5000 0.8720 0.0329  3 Si 2.34-2.50
Si10 0.5000 0.6280 0.5329  3 Si 2.34-2.50
Si11 0.5000 0.9637 0.7109  3 Si 2.29-2.53
Si12 0.5000 0.6825 0.6936  3 Si 2.29-2.39
Si13 0.5000 0.1825 0.8064  3 Si 2.29-2.39
Si14 0.5000 0.5363 0.2109  3 Si 2.29-2.53
Si15 0.5000 0.0363 0.2891  3 Si 2.29-2.53
Sm4 0.0000 0.3906 0.6337  10 Si 3.12-3.30
Si16 0.5000 0.8175 0.1936  3 Si 2.29-2.39
Y4 0.0000 0.1404 0.4124  10 Si 2.87-3.03

---

Entry 4:
DFT (GGA-PBE) results for a geometry-optimized SmYSi2 structure.

Values from the calculation:
* size of the total moment: 0.00 μB/cell
* energy above the most stable polymorph in this dataset: 1.44 eV per formula unit
* raw total energy: -23.87 eV/cell
* V: 25.39 Å³/atom
* formation energy from raw total energies: -0.46 eV/atom

Unit cell a=4.2089 b=4.2089 c=7.0513 alpha=72.64 beta=72.64 gamma=60.00
With the nearest neighbours (Å) after each atom.
Fractional positions:
Y1 0.0000 0.0000 0.0000  6 Si 2.92
Si1 0.7485 0.7485 0.7546  3 Y 2.92, 3 Sm 2.96
Sm1 0.5000 0.5000 0.5000  6 Si 2.96
Si2 0.2515 0.2515 0.2454  3 Y 2.92, 3 Sm 2.96

---

Entry 5:
DFT (GGA-PBE) results for a geometry-optimized Sm2YSi2 structure.

Values from the calculation:
* size of the total moment: 0.00 μB/cell
* energy above the most stable polymorph in this dataset: 0.42 eV per formula unit
* raw total energy: -59.74 eV/cell
* V: 25.51 Å³/atom
* formation energy from raw total energies: -0.62 eV/atom

Unit cell a=4.3288 b=6.5650 c=9.8611 alpha=77.74 beta=77.32 gamma=70.75
With the nearest neighbours (Å) after each atom.
Fractional positions:
Sm1 0.3218 0.2684 0.0880  4 Si 3.06-3.28
Si1 0.8911 0.6630 0.5549  1 Si 2.42
Si2 0.1089 0.3370 0.4451  1 Si 2.42
Y1 0.2243 0.9156 0.6359  4 Si 2.85-3.00
Y2 0.7757 0.0844 0.3641  4 Si 2.85-3.00
Sm2 0.5155 0.6575 0.3114  6 Si 3.08-3.19
Si3 0.0129 0.8684 0.1059  1 Si 2.41
Si4 0.9871 0.1316 0.8941  1 Si 2.41
Sm3 0.4845 0.3425 0.6886  6 Si 3.08-3.19
Sm4 0.6782 0.7316 0.9120  4 Si 3.06-3.28

---

Entry 6:
DFT (GGA-PBE) results for a geometry-optimized Sm2YSi2 structure.

Values from the calculation:
* size of the total moment: 0.00 μB/cell
* energy above the most stable polymorph in this dataset: 0.00 eV per formula unit
* raw total energy: -60.59 eV/cell
* V: 24.83 Å³/atom
* formation energy from raw total energies: -0.71 eV/atom

Unit cell a=4.3292 b=7.5727 c=7.5727 alpha=90.00 beta=90.00 gamma=90.00
With the nearest neighbours (Å) after each atom.
Fractional positions:
Si1 0.0000 0.1150 0.3850  1 Si 2.46
Si2 0.0000 0.8850 0.6150  1 Si 2.46
Sm1 0.5000 0.1764 0.6764  6 Si 3.11-3.13
Sm2 0.5000 0.8236 0.3236  6 Si 3.11-3.13
Si3 0.0000 0.3850 0.8850  1 Si 2.46
Sm3 0.5000 0.6764 0.8236  6 Si 3.11-3.13
Y1 0.0000 0.5000 0.5000  4 Si 3.04
Y2 0.0000 0.0000 0.0000  4 Si 3.04
Si4 0.0000 0.6150 0.1150  1 Si 2.46
Sm4 0.5000 0.3236 0.1764  6 Si 3.11-3.13